[1]
Density functional theory data (GGA-PBE) for a relaxed Re3Ir5 crystal.

Unit cell a=4.740 b=7.195 c=8.451 alpha=98.02 beta=115.06 gamma=70.77
Positions (direct):
1 Ir 0.552 0.194 0.350
2 Ir 0.126 0.500 0.405
3 Ir 0.839 0.108 0.735
4 Ir 0.246 0.806 0.350
5 Ir 0.610 0.712 0.138
6 Re 0.714 0.500 0.843
7 Ir 0.448 0.892 0.735
8 Re 0.209 0.500 0.111
9 Ir 0.822 0.288 0.138
10 Re 0.940 0.915 0.036
11 Ir 0.738 0.500 0.549
12 Re 0.355 0.085 0.036
13 Re 0.161 0.159 0.487
14 Re 0.820 0.841 0.487
15 Ir 0.312 0.303 0.803
16 Ir 0.115 0.697 0.803

Summary:
Energy of formation from the pure elements (eV/f.u.): 1.13

[2]
Density functional theory data (GGA-PBE) for a relaxed CaCoRe2 crystal.

Unit cell a=2.687 b=2.687 c=8.739 alpha=90.00 beta=90.00 gamma=90.05
Positions (direct):
1 Co 0.500 0.500 0.750
2 Re 0.000 0.000 0.544
3 Ca 0.500 0.500 0.250
4 Re 0.000 0.000 0.956

Summary:
Energy of formation from the pure elements (eV/f.u.): 1.93

[3]
Density functional theory data (GGA-PBE) for a relaxed Sm2YRh crystal.

Unit cell a=3.577 b=3.577 c=8.730 alpha=90.00 beta=90.00 gamma=90.00
Positions (direct):
1 Sm 0.000 0.000 0.190
2 Sm 0.000 0.000 0.810
3 Rh 0.500 0.500 0.000
4 Y 0.500 0.500 0.500

Summary:
Energy of formation from the pure elements (eV/f.u.): -1.25

[4]
Density functional theory data (GGA-PBE) for a relaxed La5Cu2Pb crystal.

Unit cell a=8.389 b=8.389 c=9.031 alpha=117.68 beta=117.68 gamma=90.00
Positions (direct):
1 Cu 0.369 0.869 0.000
2 La 0.500 0.500 0.000
3 La 0.205 0.012 0.717
4 Cu 0.631 0.131 0.000
5 Cu 0.869 0.631 0.000
6 Pb 0.250 0.250 0.500
7 La 0.000 0.000 0.000
8 La 0.988 0.488 0.283
9 Pb 0.750 0.750 0.500
10 La 0.705 0.205 0.717
11 La 0.795 0.988 0.283
12 Cu 0.131 0.369 0.000
13 La 0.295 0.795 0.283
14 La 0.012 0.512 0.717
15 La 0.512 0.705 0.717
16 La 0.488 0.295 0.283

Summary:
Energy of formation from the pure elements (eV/f.u.): -2.03

[5]
Density functional theory data (GGA-PBE) for a relaxed Tl5Cr crystal.

Unit cell a=9.360 b=9.360 c=5.158 alpha=90.00 beta=90.00 gamma=158.11
Positions (direct):
1 Tl 0.349 0.651 0.000
2 Tl 0.105 0.895 0.500
3 Tl 0.455 0.545 0.500
4 Tl 0.778 0.222 0.500
5 Tl 0.651 0.349 0.000
6 Cr 0.996 0.004 0.000

Summary:
Energy of formation from the pure elements (eV/f.u.): 1.78

[6]
Density functional theory data (GGA-PBE) for a relaxed Zn2InSeI crystal.

Unit cell a=5.742 b=5.465 c=5.742 alpha=90.00 beta=90.00 gamma=90.00
Positions (direct):
1 Se 0.000 0.500 0.000
2 Zn 0.500 0.000 0.000
3 In 0.500 0.500 0.500
4 I 0.000 0.000 0.000
5 Zn 0.000 0.000 0.500

Summary:
Formation energy (no corrections) (eV/atom): 0.569

[7]
Density functional theory data (GGA-PBE) for a relaxed TlFeSe crystal.

Unit cell a=3.653 b=3.653 c=10.684 alpha=90.00 beta=90.00 gamma=90.00
Positions (direct):
1 Fe 0.000 0.000 0.500
2 Se 0.000 0.500 0.368
3 Tl 0.500 0.000 0.106
4 Fe 0.500 0.500 0.500
5 Se 0.500 0.000 0.632
6 Tl 0.000 0.500 0.894

Summary:
Formation energy (no corrections) (eV/atom): -0.116

[8]
Density functional theory data (GGA-PBE) for a relaxed PRh2W crystal.

Unit cell a=5.709 b=5.709 c=3.564 alpha=90.00 beta=90.00 gamma=150.31
Positions (direct):
1 Rh 0.444 0.556 0.500
2 P 0.661 0.339 0.500
3 Rh 0.102 0.898 0.000
4 W 0.824 0.176 0.000

Summary:
Energy of formation from the pure elements (eV/f.u.): -1.31

Computed values of total magnetization (unit: Bohr magnetons per cell) for the preceding records, in sequence: 0.0 0.8 0.0 0.0 4.4 0.0 0.0 0.0.